GGA+U Na3Mn2P2C2O14, optimized geometry; symmetry = P2_1, No. 4; crystal system = monoclinic; energy relative to the lowest polymorph listed for this composition = 6 meV per atom; final energy = -159.42 eV per formula unit; size of the total moment = 14.000 μB per cell
1.0
6.499 0.000 0.000
0.000 10.504 -0.059
0.000 5.060 9.096
Mn P Na O C
4 4 6 28 4
direct
0.738 0.355 0.185
0.752 0.353 0.681
0.238 0.645 0.815
0.252 0.647 0.319
0.256 0.424 0.686
0.756 0.576 0.314
0.744 0.566 0.825
0.244 0.434 0.175
0.541 0.760 0.487
0.992 0.767 0.996
0.492 0.233 0.004
0.509 0.777 0.969
0.041 0.240 0.513
0.009 0.223 0.031
0.776 0.434 0.459
0.759 0.157 0.699
0.758 0.947 0.913
0.053 0.341 0.184
0.929 0.660 0.823
0.429 0.340 0.177
0.947 0.675 0.279
0.743 0.417 0.968
0.259 0.843 0.301
0.247 0.464 0.308
0.568 0.667 0.310
0.736 0.153 0.210
0.747 0.536 0.692
0.734 0.541 0.182
0.743 0.199 0.393
0.068 0.333 0.690
0.553 0.659 0.816
0.276 0.566 0.541
0.766 0.167 0.904
0.717 0.964 0.442
0.234 0.459 0.818
0.258 0.053 0.087
0.447 0.325 0.721
0.236 0.847 0.790
0.266 0.833 0.096
0.243 0.801 0.607
0.217 0.036 0.558
0.243 0.583 0.032
0.262 0.917 0.157
0.731 0.094 0.356
0.762 0.083 0.843
0.231 0.906 0.644